VASP calculation (GGA-PBE) on an optimized crystal structure of H3PtBr.

Values from the calculation:
The total magnetic moment is 0.0000 μB per atom. As for the total DFT energy (no corrections): -3.023 eV/atom. The space group is Pm-3m (221).

Cell: 3.744 3.744 3.744 Å, 90.00 90.00 90.00°
Atoms (fractional coordinates):
H (0.000, 0.000, 0.500)
H (0.000, 0.500, 0.000)
H (0.500, 0.000, 0.000)
Pt (0.000, 0.000, 0.000)
Br (0.500, 0.500, 0.500)